Record 1
Density functional theory data (PBE) for crystalline Dy5Ho7Er at its relaxed geometry.

abc: 8.613 8.613 8.613
angles: 134.77 100.23 96.78
Fractional positions:
Dy  0.000  0.000  0.000
Dy  0.228  0.269  0.495
Dy  0.228  0.732  0.958
Dy  0.774  0.269  0.042
Dy  0.774  0.732  0.505
Ho  0.080  0.251  0.830
Ho  0.421  0.251  0.170
Ho  0.500  0.500  0.000
Ho  0.501  0.001  0.500
Ho  0.580  0.750  0.830
Ho  0.807  0.307  0.500
Ho  0.920  0.750  0.170
Er  0.194  0.694  0.500

## Properties
Energy of formation from the pure elements: 0.263 eV/atom

=====

Record 2
Density functional theory data (PBE) for crystalline NiP2IrCl at its relaxed geometry.

abc: 4.510 4.510 5.129
angles: 90.00 90.00 90.00
Fractional positions:
Ni  0.000  0.000  0.000
P  0.000  0.500  0.500
P  0.500  0.000  0.500
Ir  0.500  0.500  0.500
Cl  0.500  0.500  0.000

## Properties
Offset from the most stable computed form: 0.0000 eV per atom
ΔE_f (raw): 0.876 eV/atom

=====

Record 3
Density functional theory data (PBE) for crystalline PrPuCdGa at its relaxed geometry.

abc: 5.310 5.310 5.310
angles: 60.00 60.00 60.00
Fractional positions:
Pr  0.000  0.000  0.000
Pu  0.500  0.500  0.500
Cd  0.750  0.750  0.750
Ga  0.250  0.250  0.250

## Properties
Energy of formation from the pure elements: -0.228 eV/atom

=====

Record 4
Density functional theory data (PBE) for crystalline MnZnRe2Pt at its relaxed geometry.

abc: 4.803 4.803 4.623
angles: 90.00 90.00 90.00
Fractional positions:
Mn  0.000  0.000  0.000
Zn  0.500  0.500  0.000
Re  0.000  0.500  0.500
Re  0.500  0.000  0.500
Pt  0.500  0.500  0.500

## Properties
Energy of formation from the pure elements: 1.801 eV/atom

=====

Record 5
Density functional theory data (PBE) for crystalline TbYH2 at its relaxed geometry.

abc: 6.040 6.040 6.040
angles: 33.65 33.65 33.65
Fractional positions:
Tb  0.000  0.000  0.000
Y  0.500  0.500  0.500
H  0.248  0.248  0.248
H  0.752  0.752  0.752

## Properties
Offset from the most stable computed form: 0.1504 eV per atom

=====

Record 6
Density functional theory data (PBE) for crystalline Na3TaF at its relaxed geometry.

abc: 4.842 4.842 4.842
angles: 90.00 90.00 90.00
Fractional positions:
Na  0.000  0.000  0.500
Na  0.000  0.500  0.000
Na  0.500  0.000  0.000
Ta  0.500  0.500  0.500
F  0.000  0.000  0.000

## Properties
Offset from the most stable computed form: 0.0000 eV per atom
ΔE_f (raw): 0.063 eV/atom

=====

Record 7
Density functional theory data (PBE) for crystalline PmPr4Nd7 at its relaxed geometry.

abc: 8.826 8.826 9.504
angles: 114.28 114.28 40.70
Fractional positions:
Pm  0.000  0.000  0.000
Pr  0.327  0.327  0.612
Pr  0.425  0.425  0.300
Pr  0.575  0.575  0.700
Pr  0.673  0.673  0.388
Nd  0.082  0.082  0.438
Nd  0.208  0.208  0.224
Nd  0.212  0.212  0.877
Nd  0.500  0.500  0.000
Nd  0.788  0.788  0.123
Nd  0.792  0.792  0.776
Nd  0.918  0.918  0.562

## Properties
Energy of formation from the pure elements: 0.195 eV/atom
Offset from the most stable computed form: 0.1809 eV per atom

=====

Record 8
Density functional theory data (PBE) for crystalline BaScTl3 at its relaxed geometry.

abc: 6.218 6.218 6.218
angles: 90.00 90.00 90.00
Fractional positions:
Ba  0.000  0.000  0.000
Sc  0.500  0.500  0.500
Tl  0.000  0.000  0.500
Tl  0.000  0.500  0.000
Tl  0.500  0.000  0.000

## Properties
Energy of formation from the pure elements: 0.938 eV/atom
Offset from the most stable computed form: 1.0468 eV per atom

=====

Record 9
Density functional theory data (PBE) for crystalline Ho2PdPt9 at its relaxed geometry.

abc: 9.313 9.313 9.313
angles: 33.45 33.45 33.45
Fractional positions:
Ho  0.134  0.134  0.134
Ho  0.866  0.866  0.866
Pd  0.000  0.000  0.000
Pt  0.081  0.588  0.588
Pt  0.333  0.333  0.333
Pt  0.412  0.412  0.919
Pt  0.412  0.919  0.412
Pt  0.500  0.500  0.500
Pt  0.588  0.081  0.588
Pt  0.588  0.588  0.081
Pt  0.667  0.667  0.667
Pt  0.919  0.412  0.412

## Properties
Energy of formation from the pure elements: -0.587 eV/atom
Offset from the most stable computed form: 0.0993 eV per atom

=====

Record 10
Density functional theory data (PBE) for crystalline SrNb2Si2 at its relaxed geometry.

abc: 7.427 7.427 3.402
angles: 90.00 90.00 90.00
Fractional positions:
Sr  0.000  0.000  0.000
Sr  0.500  0.500  0.000
Nb  0.162  0.338  0.500
Nb  0.338  0.838  0.500
Nb  0.662  0.162  0.500
Nb  0.838  0.662  0.500
Si  0.120  0.620  0.000
Si  0.380  0.120  0.000
Si  0.620  0.880  0.000
Si  0.880  0.380  0.000

## Properties
ΔE_f (raw): -0.132 eV/atom

=====

Record 11
Density functional theory data (PBE) for crystalline Rb2UCdS5 at its relaxed geometry.

abc: 9.955 9.955 14.282
angles: 90.00 90.00 156.30
Fractional positions:
Rb  0.099  0.901  0.500
Rb  0.127  0.873  0.141
Rb  0.873  0.127  0.641
Rb  0.901  0.099  0.000
U  0.214  0.786  0.852
U  0.786  0.214  0.352
Cd  0.432  0.568  0.267
Cd  0.568  0.432  0.767
S  0.082  0.918  0.878
S  0.280  0.720  0.467
S  0.295  0.705  0.232
S  0.337  0.663  0.832
S  0.496  0.504  0.123
S  0.504  0.496  0.623
S  0.663  0.337  0.332
S  0.705  0.295  0.732
S  0.720  0.280  0.967
S  0.918  0.082  0.378

## Properties
ΔE_f (raw): -1.044 eV/atom

=====

Record 12
Density functional theory data (PBE) for crystalline NdSbH at its relaxed geometry.

abc: 4.150 5.381 6.114
angles: 87.44 70.17 89.87
Fractional positions:
Nd  0.144  0.293  0.213
Nd  0.856  0.707  0.787
Sb  0.420  0.201  0.660
Sb  0.580  0.799  0.340
H  0.278  0.615  0.945
H  0.722  0.385  0.055

## Properties
Offset from the most stable computed form: 0.0073 eV per atom